Compound: TaCdHg2
Source: the Alexandria database
Functional: PBE
Structure: optimized geometry

Cell and atoms, written as POSCAR:
```
TaCdHg2
1.0
-7.459 -0.073 1.928
0.219 -7.681 0.558
-2.866 -3.643 4.168
Hg Cd Ta
4 2 2
direct
0.375 0.371 0.750
0.629 0.125 0.250
0.875 0.879 0.750
0.121 0.625 0.250
0.500 0.500 0.000
0.250 0.750 0.500
0.750 0.250 0.500
0.000 0.000 0.000
```

Properties
- Spin magnetization: 1.86 Bohr magnetons per cell
- Formation energy: 0.67 eV/atom
- N(E_F): 3.93 states/eV per cell
- Electronic total energy: -2.67 eV/atom